A relaxed structure of EuTlInPt, computed with GGA-PBE.

It has space group F-43m (No. 216), with a = 7.2464 Å, b = 7.2464 Å, c = 7.2464 Å, α = 90.00°, β = 90.00° and γ = 90.00°. The asymmetric unit holds Eu at (0.0000, 0.0000, 0.0000), Tl at (0.2500, 0.2500, 0.2500), In at (0.0000, 0.0000, 0.5000) and Pt at (0.2500, 0.2500, 0.7500).

The formation energy is -0.410 eV/atom. The value obtained for the total energy is -5.7647 eV/atom.

---

A relaxed structure of EuTmInPt, computed with GGA-PBE.

It has space group F-43m (No. 216), with a = 7.3180 Å, b = 7.3180 Å, c = 7.3180 Å, α = 90.00°, β = 90.00° and γ = 90.00°. The asymmetric unit holds Eu at (0.0000, 0.0000, 0.0000), Tm at (0.0000, 0.0000, 0.5000), In at (0.2500, 0.2500, 0.2500) and Pt at (0.2500, 0.2500, 0.7500).

The formation energy is -0.649 eV/atom. The value obtained for the total energy is -6.5307 eV/atom.

---

A relaxed structure of EuZnInPt, computed with GGA-PBE.

It has space group F-43m (No. 216), with a = 6.9693 Å, b = 6.9693 Å, c = 6.9693 Å, α = 90.00°, β = 90.00° and γ = 90.00°. The asymmetric unit holds Eu at (0.0000, 0.0000, 0.0000), Zn at (0.2500, 0.2500, 0.7500), In at (0.0000, 0.0000, 0.5000) and Pt at (0.2500, 0.2500, 0.2500).

The formation energy is -0.477 eV/atom. The value obtained for the total energy is -5.5590 eV/atom.

---

A relaxed structure of EuPuIn2, computed with GGA-PBE.

It has space group P4/mmm (No. 123), with a = 5.5499 Å, b = 5.5499 Å, c = 3.7647 Å, α = 90.00°, β = 90.00° and γ = 90.00°. The asymmetric unit holds Eu at (0.0000, 0.0000, 0.0000), Pu at (0.5000, 0.5000, 0.0000) and In at (0.0000, 0.5000, 0.5000).

The formation energy is -0.256 eV/atom. The energy above the most stable polymorph in this dataset comes out at 0.00 eV per formula unit. The value obtained for the total energy is -7.7767 eV/atom.

---

A relaxed structure of EuPuIn2, computed with GGA-PBE.

It has space group Fm-3m (No. 225), with a = 7.7594 Å, b = 7.7594 Å, c = 7.7594 Å, α = 90.00°, β = 90.00° and γ = 90.00°. The asymmetric unit holds Eu at (0.0000, 0.0000, 0.0000), Pu at (0.0000, 0.0000, 0.5000) and In at (0.2500, 0.2500, 0.2500).

The formation energy is -0.232 eV/atom. The energy above the most stable polymorph in this dataset comes out at 0.10 eV per formula unit. The value obtained for the total energy is -7.7525 eV/atom.

---

A relaxed structure of EuPuTlIn, computed with GGA-PBE.

It has space group F-43m (No. 216), with a = 7.7824 Å, b = 7.7824 Å, c = 7.7824 Å, α = 90.00°, β = 90.00° and γ = 90.00°. The asymmetric unit holds Eu at (0.0000, 0.0000, 0.0000), Pu at (0.0000, 0.0000, 0.5000), Tl at (0.2500, 0.2500, 0.7500) and In at (0.2500, 0.2500, 0.2500).

The formation energy is -0.201 eV/atom. The value obtained for the total energy is -7.6287 eV/atom.

---

A relaxed structure of EuTmPuIn, computed with GGA-PBE.

It has space group F-43m (No. 216), with a = 7.7334 Å, b = 7.7334 Å, c = 7.7334 Å, α = 90.00°, β = 90.00° and γ = 90.00°. The asymmetric unit holds Eu at (0.0000, 0.0000, 0.0000), Tm at (0.0000, 0.0000, 0.5000), Pu at (0.2500, 0.2500, 0.2500) and In at (0.2500, 0.2500, 0.7500).

The formation energy is -0.020 eV/atom. The value obtained for the total energy is -7.9745 eV/atom.

---

A relaxed structure of EuPuZnIn, computed with GGA-PBE.

It has space group F-43m (No. 216), with a = 7.5652 Å, b = 7.5652 Å, c = 7.5652 Å, α = 90.00°, β = 90.00° and γ = 90.00°. The asymmetric unit holds Eu at (0.0000, 0.0000, 0.0000), Pu at (0.0000, 0.0000, 0.5000), Zn at (0.2500, 0.2500, 0.7500) and In at (0.2500, 0.2500, 0.2500).

The formation energy is -0.150 eV/atom. The value obtained for the total energy is -7.3051 eV/atom.

---

A relaxed structure of RbEu2In, computed with GGA-PBE.

It has space group P4/mmm (No. 123), with a = 4.0735 Å, b = 4.0735 Å, c = 10.9075 Å, α = 90.00°, β = 90.00° and γ = 90.00°. The asymmetric unit holds Rb at (0.0000, 0.0000, 0.0000), Eu at (0.5000, 0.5000, 0.3333) and In at (0.0000, 0.0000, 0.5000).

The formation energy is -0.131 eV/atom. The value obtained for the total energy is -6.1951 eV/atom.

---

A relaxed structure of EuIn8Rh2, computed with GGA-PBE.

It has space group Pbam (No. 55), with a = 14.0449 Å, b = 16.3517 Å, c = 4.3995 Å, α = 90.00°, β = 90.00° and γ = 90.00°. The asymmetric unit holds Eu at (0.1559, 0.1798, 0.0000), In at (0.0000, 0.0000, 0.0000), In at (0.0000, 0.5000, 0.5000), In at (0.0193, 0.8659, 0.5000), In at (0.0507, 0.3153, 0.5000), In at (0.1022, 0.7462, 0.0000), In at (0.1603, 0.4559, 0.0000), In at (0.1682, 0.6231, 0.5000), In at (0.1695, 0.0120, 0.5000), In at (0.2406, 0.8218, 0.5000), Rh at (0.0340, 0.5954, 0.0000) and Rh at (0.1540, 0.9036, 0.0000).

The formation energy is -0.355 eV/atom. The value obtained for the total energy is -4.6170 eV/atom.

---

A relaxed structure of Eu2InRh, computed with GGA-PBE.

It has space group Fm-3m (No. 225), with a = 7.4438 Å, b = 7.4438 Å, c = 7.4438 Å, α = 90.00°, β = 90.00° and γ = 90.00°. The asymmetric unit holds Eu at (0.2500, 0.2500, 0.2500), In at (0.0000, 0.0000, 0.0000) and Rh at (0.0000, 0.0000, 0.5000).

The formation energy is -0.301 eV/atom. The energy above the most stable polymorph in this dataset comes out at 0.38 eV per formula unit. The value obtained for the total energy is -7.9610 eV/atom.

---

A relaxed structure of Eu2InRh, computed with GGA-PBE.

It has space group P4/mmm (No. 123), with a = 3.5707 Å, b = 3.5707 Å, c = 8.1588 Å, α = 90.00°, β = 90.00° and γ = 90.00°. The asymmetric unit holds Eu at (0.0000, 0.0000, 0.2110), In at (0.5000, 0.5000, 0.5000) and Rh at (0.5000, 0.5000, 0.0000).

The formation energy is -0.395 eV/atom. The energy above the most stable polymorph in this dataset comes out at 0.00 eV per formula unit. The value obtained for the total energy is -8.0551 eV/atom.

---

A relaxed structure of EuInRh, computed with GGA-PBE.

It has space group P-6m2 (No. 187), with a = 4.6067 Å, b = 4.6067 Å, c = 4.0596 Å, α = 90.00°, β = 90.00° and γ = 120.00°. The asymmetric unit holds Eu at (0.0000, 0.0000, 0.0000), In at (0.3333, 0.6667, 0.5000) and Rh at (0.6667, 0.3333, 0.5000).

The formation energy is -0.409 eV/atom. The value obtained for the total energy is -7.1971 eV/atom.

---

A relaxed structure of EuInRh4, computed with GGA-PBE.

It has space group F-43m (No. 216), with a = 7.5294 Å, b = 7.5294 Å, c = 7.5294 Å, α = 90.00°, β = 90.00° and γ = 90.00°. The asymmetric unit holds Eu at (0.0000, 0.0000, 0.0000), In at (0.2500, 0.2500, 0.7500) and Rh at (0.1244, 0.1244, 0.3756).

The formation energy is -0.301 eV/atom. The value obtained for the total energy is -7.3713 eV/atom.